Record 1
{"formula": "SiHg3", "functional": "PBE-GGA", "state": "relaxed", "lattice_angstrom": [[0.000, 3.583, 3.583], [3.583, 0.000, 3.583], [3.583, 3.583, 0.000]], "species": ["Si", "Hg", "Hg", "Hg"], "fractional_positions": [[0.000, 0.000, 0.000], [0.250, 0.250, 0.250], [0.500, 0.500, 0.500], [0.750, 0.750, 0.750]], "dft_energy_ev_per_atom": -1.115, "density_g_cm3": 11.37, "dos_at_fermi_per_ev_fu": 2.8, "formation_energy_uncorrected_kj_per_mol_fu": 180}


Record 2
{"formula": "Si3Hg2", "functional": "PBE-GGA", "state": "relaxed", "lattice_angstrom": [[1.893, 1.093, 8.306], [-1.893, 1.093, 8.306], [0.000, -2.186, 8.306]], "species": ["Si", "Si", "Si", "Hg", "Hg"], "fractional_positions": [[0.000, 0.000, 0.000], [0.185, 0.185, 0.185], [0.815, 0.815, 0.815], [0.402, 0.402, 0.402], [0.598, 0.598, 0.598]], "dft_energy_ev_per_atom": -2.962, "density_g_cm3": 7.82, "dos_at_fermi_per_ev_fu": 2.7, "formation_energy_uncorrected_kj_per_mol_fu": 199}


Record 3
{"formula": "Si2Hg", "functional": "PBE-GGA", "state": "relaxed", "lattice_angstrom": [[-1.408, 1.408, 8.019], [1.408, -1.408, 8.019], [1.408, 1.408, -8.019]], "species": ["Si", "Si", "Hg"], "fractional_positions": [[0.196, 0.196, 0.000], [0.804, 0.804, 0.000], [0.500, 0.500, 0.000]], "dft_energy_ev_per_atom": -3.175, "density_g_cm3": 6.71, "dos_at_fermi_per_ev_fu": 1.3, "formation_energy_uncorrected_kj_per_mol_fu": 157}


Record 4
{"formula": "SiHg3", "functional": "PBE-GGA", "state": "relaxed", "lattice_angstrom": [[2.961, -5.092, 0.000], [2.961, 5.092, 0.000], [0.000, 0.000, 3.047]], "species": ["Si", "Hg", "Hg", "Hg"], "fractional_positions": [[0.000, 0.000, 0.000], [0.000, 0.500, 0.500], [0.500, 0.000, 0.500], [0.500, 0.500, 0.000]], "dft_energy_ev_per_atom": -1.208, "density_g_cm3": 11.38, "dos_at_fermi_per_ev_fu": 1.3, "formation_energy_uncorrected_kj_per_mol_fu": 144}


Number 1: energy above the most stable polymorph in this dataset 292 meV/atom. Number 2: energy above the most stable polymorph in this dataset 167 meV/atom. Number 3: energy above the most stable polymorph in this dataset 229 meV/atom. Number 4: energy above the most stable polymorph in this dataset 199 meV/atom.